Record 1
Entry from Alexandria via LeMat-Bulk: a relaxed structure of Pm3Nd5Er3 (PBE-GGA).

**Fermi-level density of states**: 1.5606 states/eV/atom
**Energy relative to the elements**: 0.314 eV/atom
**Total moment**: 0.0 Bohr magnetons per cell
**Total DFT energy (no corrections)**: -4.393 eV per atom
**Polymorph energy (0 for the lowest one)**: 0.000 eV/atom

```
Pm3Nd5Er3
1.0
11.369 0.000 0.000
-5.684 9.846 0.000
0.000 0.000 3.466
Pm Nd Er
3 5 3
Cartesian
-3.395 5.880 0.000
2.290 3.966 0.000
6.789 0.000 0.000
-1.916 3.319 1.733
0.000 6.564 1.733
3.832 0.000 1.733
3.768 6.527 1.733
5.684 3.282 1.733
-4.781 8.281 1.733
0.903 1.564 1.733
9.562 0.000 1.733
```



Record 2
Entry from Alexandria via LeMat-Bulk: a relaxed structure of Pm2Nd4Er3 (PBE-GGA).

**Fermi-level density of states**: 1.2856 states/eV/atom
**Energy relative to the elements**: 0.017 eV/atom
**Total moment**: 0.0 Bohr magnetons per cell
**Total DFT energy (no corrections)**: -4.679 eV per atom
**Polymorph energy (0 for the lowest one)**: 0.000 eV/atom

```
Pm2Nd4Er3
1.0
7.901 -1.808 0.000
7.901 1.808 0.000
-2.489 0.000 10.523
Pm Nd Er
2 4 3
Cartesian
2.069 0.000 2.355
11.244 0.000 8.168
0.414 0.000 9.351
6.233 0.000 7.000
7.080 0.000 3.523
12.899 0.000 1.171
1.270 0.000 5.831
7.901 0.000 0.000
12.043 0.000 4.691
```



Record 3
Entry from Alexandria via LeMat-Bulk: a relaxed structure of PmNd5Er12 (PBE-GGA).

**Fermi-level density of states**: 1.6844 states/eV/atom
**Energy relative to the elements**: 0.099 eV/atom
**Total moment**: 0.0 Bohr magnetons per cell
**Total DFT energy (no corrections)**: -4.531 eV per atom

```
PmNd5Er12
1.0
5.687 -8.634 0.000
5.687 8.634 0.000
0.000 0.000 5.921
Pm Nd Er
1 5 12
Cartesian
0.000 0.000 0.000
5.686 5.761 2.960
5.687 2.869 0.000
5.686 0.000 2.960
5.687 -2.869 0.000
5.686 -5.761 2.960
2.017 2.878 0.302
3.664 2.878 3.263
2.019 0.000 2.648
3.652 0.000 5.608
2.017 -2.878 0.302
3.664 -2.878 3.263
7.709 2.878 2.658
9.356 2.878 5.618
7.721 0.000 0.313
9.354 0.000 3.273
7.709 -2.878 2.658
9.356 -2.878 5.618
```



Record 4
Entry from Alexandria via LeMat-Bulk: a relaxed structure of Pm5NdEr12 (PBE-GGA).

**Fermi-level density of states**: 1.7290 states/eV/atom
**Energy relative to the elements**: 0.102 eV/atom
**Total moment**: 0.0 Bohr magnetons per cell
**Total DFT energy (no corrections)**: -4.524 eV per atom

```
Pm5NdEr12
1.0
5.659 -8.632 0.000
5.659 8.632 0.000
0.000 0.000 5.916
Pm Nd Er
5 1 12
Cartesian
0.000 0.000 0.000
5.659 5.743 2.958
5.659 2.889 0.000
5.659 -2.889 0.000
5.659 -5.743 2.958
5.659 0.000 2.958
2.009 2.876 0.308
3.646 2.877 3.266
1.994 0.000 2.663
3.654 0.000 5.621
2.009 -2.876 0.308
3.646 -2.877 3.266
7.671 2.877 2.650
9.309 2.876 5.608
7.663 0.000 0.294
9.323 0.000 3.252
7.671 -2.877 2.650
9.309 -2.876 5.608
```